1.
## Sm2EuBi (PBE)

Data for Sm2EuBi after structural relaxation.

Unit cell a=12.708 b=12.708 c=12.708 alpha=16.38 beta=16.38 gamma=16.38
Fractional coordinates of all 4 atoms:
Sm1 0.085 0.085 0.085
Sm2 0.915 0.915 0.915
Eu1 0.500 0.500 0.500
Bi1 0.000 0.000 0.000

Values from the calculation:
**ΔE to the lowest computed polymorph**: 436 meV per atom
**DOS at the Fermi energy**: 4.2 states/eV/f.u.
**DFT formation energy**: 0.20 eV/f.u.

***

2.
## Pr3Sm2Ho3 (PBE)

Data for Pr3Sm2Ho3 after structural relaxation.

Unit cell a=10.874 b=10.874 c=10.874 alpha=152.87 beta=152.70 gamma=38.86
Fractional coordinates of all 8 atoms:
Pr1 0.000 0.000 0.000
Pr2 0.376 0.876 0.500
Pr3 0.624 0.124 0.500
Sm1 0.249 0.249 0.000
Sm2 0.751 0.751 0.000
Ho1 0.125 0.625 0.500
Ho2 0.500 0.500 0.000
Ho3 0.875 0.375 0.500

Values from the calculation:
**ΔE to the lowest computed polymorph**: 0 meV per atom
**DOS at the Fermi energy**: 12.3 states/eV/f.u.
**DFT formation energy**: 0.16 eV/f.u.

***

3.
## TlCdAg2F6 (PBE)

Data for TlCdAg2F6 after structural relaxation.

Unit cell a=6.060 b=6.207 c=10.617 alpha=90.00 beta=124.67 gamma=90.00
Fractional coordinates of all 20 atoms:
Tl1 0.000 0.000 0.000
Tl2 0.000 0.500 0.500
Cd1 0.500 0.000 0.500
Cd2 0.500 0.500 0.000
Ag1 0.228 0.066 0.748
Ag2 0.228 0.434 0.248
Ag3 0.772 0.566 0.752
Ag4 0.772 0.934 0.252
F1 0.123 0.185 0.427
F2 0.123 0.315 0.927
F3 0.251 0.697 0.429
F4 0.251 0.803 0.929
F5 0.391 0.061 0.257
F6 0.391 0.439 0.757
F7 0.609 0.561 0.243
F8 0.609 0.939 0.743
F9 0.749 0.197 0.071
F10 0.749 0.303 0.571
F11 0.877 0.685 0.073
F12 0.877 0.815 0.573

Values from the calculation:
**Energy relative to the elements, uncorrected**: -15.5 eV per formula unit
**DOS at the Fermi energy**: 2.8 states/eV/f.u.

***

4.
## Ca2MgSb (PBE)

Data for Ca2MgSb after structural relaxation.

Unit cell a=3.902 b=4.203 c=7.149 alpha=90.00 beta=90.00 gamma=90.00
Fractional coordinates of all 4 atoms:
Ca1 0.000 0.000 0.233
Ca2 0.000 0.000 0.767
Mg1 0.500 0.500 0.500
Sb1 0.500 0.500 0.000

Values from the calculation:
**ΔE to the lowest computed polymorph**: 42 meV per atom
**Energy relative to the elements, uncorrected**: -2.1 eV per formula unit
**DOS at the Fermi energy**: 1.7 states/eV/f.u.